[1]
Compound: U3Ni2P4
Source: OQMD
Functional: PBE-GGA
Structure: optimized geometry

Cell: 12.1050 3.7639 8.1814 Å, 90.00 125.09 90.00°
Space group C2/m (No. 12)
Unique sites:
U1 0.0000 0.0000 0.0000
U2 0.1051 0.5000 0.6758
Ni1 0.1850 0.5000 0.3682
P1 0.0893 0.0000 0.3937
P2 0.1918 0.5000 0.0977

---

[2]
Compound: U2Ni12P7
Source: OQMD
Functional: PBE-GGA
Structure: optimized geometry

Cell: 9.0605 9.0605 3.6857 Å, 90.00 90.00 120.00°
Space group P-6 (No. 174)
Unique sites:
U1 0.0000 0.0000 0.0000
U2 0.3333 0.6667 0.5000
Ni1 0.0522 0.7642 0.5000
Ni2 0.1001 0.3904 0.0000
Ni3 0.3914 0.2111 0.0000
Ni4 0.5455 0.1173 0.5000
P1 0.0733 0.6259 0.0000
P2 0.2622 0.0424 0.5000
P3 0.6667 0.3333 0.0000

---

[3]
Compound: UNi4P2
Source: OQMD
Functional: PBE-GGA
Structure: optimized geometry

Cell: 7.0088 7.0088 3.6505 Å, 90.00 90.00 90.00°
Space group P4_2/mnm (No. 136)
Unique sites:
U1 0.0000 0.0000 0.0000
Ni1 0.0903 0.3391 0.5000
P1 0.2178 0.7822 0.5000

---

[4]
Compound: Ni4P16W
Source: OQMD
Functional: PBE-GGA
Structure: optimized geometry

Cell: 19.6531 5.6857 11.1375 Å, 90.00 100.95 90.00°
Space group C2/c (No. 15)
Unique sites:
Ni1 0.1062 0.0941 0.0744
Ni2 0.2495 0.4450 0.6286
P1 0.0043 0.2634 0.1075
P2 0.0615 0.0524 0.8679
P3 0.0620 0.2815 0.5804
P4 0.1208 0.4948 0.3391
P5 0.1410 0.1258 0.2804
P6 0.1417 0.4608 0.0427
P7 0.2129 0.0662 0.5541
P8 0.2212 0.3372 0.8120
W1 0.0000 0.3947 0.7500

---

[5]
Compound: NiP2W
Source: OQMD
Functional: PBE-GGA
Structure: optimized geometry

Cell: 3.3383 3.3383 11.2602 Å, 90.00 90.00 120.00°
Space group P6_3/mmc (No. 194)
Unique sites:
Ni1 0.0000 0.0000 0.0000
P1 0.3333 0.6667 0.1129
W1 0.0000 0.0000 0.2500

---

[6]
Compound: Y2Ni3P
Source: OQMD
Functional: PBE-GGA
Structure: optimized geometry

Cell: 5.1550 5.1550 12.1224 Å, 90.00 90.00 120.00°
Space group R-3m (No. 166, hexagonal axes)
Unique sites:
Y1 0.0000 0.0000 0.1238
Ni1 0.0000 0.5000 0.0000
P1 0.0000 0.0000 0.5000

---

no.,DFT total energy (eV per atom)
1,-8.286
2,-6.712
3,-7.022
4,-6.073
5,-7.806
6,-6.434